The following is a DFT calculation (PBE+U) of crystalline BaCoIO6 at its relaxed geometry.

Cell lengths 5.113, 5.113, 5.900 Å; angles 90.00, 90.00, 60.00 degrees
Fractional coordinates of all 9 atoms:
Ba  0.000  0.000  0.000
Co  0.667  0.667  0.500
I  0.333  0.333  0.500
O  0.003  0.380  0.316
O  0.380  0.003  0.684
O  0.617  0.380  0.684
O  0.003  0.617  0.684
O  0.380  0.617  0.316
O  0.617  0.003  0.316

Magnetic moment, Bohr magnetons per cell: 0.00
Energy, eV for the cell shown: -49.1